Record 1
Compound: Ti2CuRh
Source: the Alexandria database
Functional: PBE
Structure: optimized geometry Values from VASP.

**ΔE_f**: -408 meV per atom

```
&SYSTEM
  ibrav = 0, nat = 4, ntyp = 3
/
ATOMIC_SPECIES
Ti 47.87 Ti.upf
Cu 63.55 Cu.upf
Rh 102.91 Rh.upf
CELL_PARAMETERS angstrom
3.114 0.000 0.000
0.000 3.114 0.000
0.000 0.000 6.109
ATOMIC_POSITIONS angstrom
Ti 0.000 0.000 1.512
Cu 1.557 1.557 0.000
Rh 1.557 1.557 3.055
Ti 0.000 0.000 4.597
```

Record 2
Compound: Pr2Ni2Sn
Source: the Alexandria database
Functional: PBE
Structure: optimized geometry Values from VASP.

**ΔE_f**: -502 meV per atom

```
&SYSTEM
  ibrav = 0, nat = 5, ntyp = 3
/
ATOMIC_SPECIES
Pr 140.91 Pr.upf
Ni 58.69 Ni.upf
Sn 118.71 Sn.upf
CELL_PARAMETERS angstrom
-2.736 1.037 -3.213
-2.392 -4.569 -2.377
-5.403 -1.192 1.277
ATOMIC_POSITIONS angstrom
Pr -2.873 -1.503 -0.978
Ni -4.634 -3.070 -2.923
Ni -5.897 -1.653 -1.390
Sn 0.000 0.000 0.000
Pr -7.659 -3.220 -3.335
```

Record 3
Compound: TlReSe2
Source: the Alexandria database
Functional: PBE
Structure: optimized geometry Values from VASP.

**Energy above the most stable polymorph in this dataset**: 45 meV/atom
**Uncorrected formation energy**: 0.0480 eV per atom

```
&SYSTEM
  ibrav = 0, nat = 4, ntyp = 3
/
ATOMIC_SPECIES
Re 186.21 Re.upf
Se 78.96 Se.upf
Tl 204.38 Tl.upf
CELL_PARAMETERS angstrom
-9.304 -1.755 -1.253
-7.631 -1.985 -5.385
8.842 -0.313 3.591
ATOMIC_POSITIONS angstrom
Re -5.374 -2.170 -0.846
Se -6.484 -3.698 -2.416
Tl -9.492 -2.097 -3.720
Se -3.303 -2.013 -2.428
```

Record 4
Compound: Y3NbP
Source: the Alexandria database
Functional: PBE
Structure: optimized geometry Values from VASP.

**Energy above the most stable polymorph in this dataset**: 653 meV/atom
**ΔE_f**: 641 meV per atom

```
&SYSTEM
  ibrav = 0, nat = 5, ntyp = 3
/
ATOMIC_SPECIES
Nb 92.91 Nb.upf
Y 88.91 Y.upf
P 30.97 P.upf
CELL_PARAMETERS angstrom
5.339 0.000 0.000
0.000 5.339 0.000
0.000 0.000 5.339
ATOMIC_POSITIONS angstrom
Nb 0.000 0.000 0.000
Y 0.000 0.000 2.669
P 2.669 2.669 2.669
Y 2.669 0.000 0.000
Y 0.000 2.669 0.000
```